No. 1
A plane-wave DFT calculation with PBEsol was carried out for CoTcNi2 after structural relaxation.

```
CoTcNi2
1.0
-2.300 -1.129 2.408
2.224 -2.563 0.922
1.520 4.005 0.763
Ni Co Tc
2 1 1
direct
0.000 0.000 0.000
0.750 0.250 0.500
0.250 0.750 0.500
0.500 0.500 0.000
```

magnetization = 0.004 Bohr magnetons per cell
formation energy = 0.007 eV/atom
energy relative to the lowest polymorph listed for this composition = 0.0000 eV per atom

No. 2
A plane-wave DFT calculation with PBEsol was carried out for CuAgMo2 after structural relaxation.

```
CuAgMo2
1.0
-1.875 2.086 -1.804
-2.747 -1.214 1.451
0.407 3.727 3.887
Ag Cu Mo
1 1 2
direct
0.500 0.500 0.000
0.500 0.500 0.500
0.000 0.000 0.709
0.000 0.000 0.291
```

magnetization = 0.000 Bohr magnetons per cell
formation energy = 0.520 eV/atom
energy relative to the lowest polymorph listed for this composition = 0.2863 eV per atom

No. 3
A plane-wave DFT calculation with PBEsol was carried out for Mg2GeSe4 after structural relaxation.

```
Mg2GeSe4
1.0
-0.878 -5.768 2.423
1.523 -3.165 -6.981
13.037 -0.663 3.145
Mg Ge Se
8 4 16
direct
0.504 0.750 0.769
0.996 0.750 0.269
0.496 0.250 0.231
0.004 0.250 0.731
0.000 0.000 0.000
0.500 0.500 0.500
0.000 0.500 0.000
0.500 0.000 0.500
0.410 0.750 0.089
0.090 0.750 0.589
0.590 0.250 0.911
0.910 0.250 0.411
0.780 0.750 0.093
0.720 0.750 0.593
0.220 0.250 0.907
0.280 0.250 0.407
0.243 0.985 0.169
0.257 0.515 0.669
0.757 0.485 0.831
0.743 0.015 0.331
0.757 0.015 0.831
0.743 0.485 0.331
0.243 0.515 0.169
0.257 0.985 0.669
0.251 0.750 0.928
0.249 0.750 0.428
0.749 0.250 0.072
0.751 0.250 0.572
```

magnetization = 0.000 Bohr magnetons per cell
uncorrected formation energy = -0.833 eV per atom

No. 4
A plane-wave DFT calculation with PBEsol was carried out for HfCo3B2 after structural relaxation.

```
HfCo3B2
1.0
-4.930 1.140 -2.456
-2.122 -0.113 5.208
1.597 5.385 0.296
Co B Hf
9 6 3
direct
0.000 0.000 0.500
0.500 0.000 0.000
0.000 0.500 0.000
0.196 0.694 0.694
0.694 0.196 0.694
0.694 0.694 0.196
0.804 0.306 0.306
0.306 0.804 0.306
0.306 0.306 0.804
0.000 0.623 0.377
0.377 0.000 0.623
0.623 0.377 0.000
0.000 0.377 0.623
0.623 0.000 0.377
0.377 0.623 0.000
0.000 0.000 0.000
0.670 0.670 0.670
0.330 0.330 0.330
```

magnetization = 0.000 Bohr magnetons per cell
formation energy = -0.682 eV/atom
energy relative to the lowest polymorph listed for this composition = 0.0000 eV per atom

No. 5
A plane-wave DFT calculation with PBEsol was carried out for KAgBr2 after structural relaxation.

```
KAgBr2
1.0
4.303 0.000 0.000
2.151 3.726 0.000
2.151 1.242 6.931
K Ag Br
1 1 2
direct
0.000 0.000 0.000
0.500 0.500 0.500
0.236 0.236 0.292
0.764 0.764 0.708
```

magnetization = 0.000 Bohr magnetons per cell
uncorrected formation energy = -0.962 eV per atom

No. 6
A plane-wave DFT calculation with PBEsol was carried out for Ba2SbPd after structural relaxation.

```
Ba2SbPd
1.0
6.604 0.000 0.000
3.302 6.279 0.000
3.302 0.000 6.279
Sb Ba Pd
2 4 2
direct
0.000 0.000 0.000
0.750 0.500 0.500
0.875 0.953 0.547
0.375 0.047 0.453
0.578 0.547 0.047
0.172 0.453 0.953
0.500 0.000 0.000
0.250 0.500 0.500
```

magnetization = 0.000 Bohr magnetons per cell
uncorrected formation energy = -0.456 eV per atom

No. 7
A plane-wave DFT calculation with PBEsol was carried out for InCoTeN2 after structural relaxation.

```
InCoTeN2
1.0
3.882 0.000 0.000
0.000 3.882 0.000
0.000 0.000 5.199
N Te Co In
2 1 1 1
direct
0.000 0.500 0.000
0.500 0.000 0.000
0.000 0.000 0.500
0.000 0.000 0.000
0.500 0.500 0.500
```

magnetization = 2.837 Bohr magnetons per cell
uncorrected formation energy = 1.008 eV per atom

No. 8
A plane-wave DFT calculation with PBEsol was carried out for CaMgSi2Hg after structural relaxation.

```
CaMgSi2Hg
1.0
5.255 0.000 0.000
0.000 5.255 0.000
0.000 0.000 5.421
Mg Ca Si Hg
1 1 2 1
direct
0.500 0.500 0.500
0.000 0.000 0.000
0.000 0.500 0.000
0.500 0.000 0.000
0.000 0.000 0.500
```

magnetization = 0.303 Bohr magnetons per cell
uncorrected formation energy = 0.981 eV per atom

No. 9
A plane-wave DFT calculation with PBEsol was carried out for Li2ZnAu after structural relaxation.

```
Li2ZnAu
1.0
4.332 0.000 0.000
2.166 3.752 0.000
2.166 1.251 3.537
Zn Au Li
1 1 2
direct
0.250 0.250 0.250
0.500 0.500 0.500
0.000 0.000 0.000
0.750 0.750 0.750
```

magnetization = 0.000 Bohr magnetons per cell
formation energy = -0.425 eV/atom

No. 10
A plane-wave DFT calculation with PBEsol was carried out for TlIrCl after structural relaxation.

```
TlIrCl
1.0
4.480 0.000 0.000
2.240 3.880 0.000
2.240 1.293 3.658
Tl Ir Cl
1 1 1
direct
0.500 0.500 0.500
0.000 0.000 0.000
0.250 0.250 0.250
```

magnetization = 0.809 Bohr magnetons per cell
uncorrected formation energy = 1.262 eV per atom
energy relative to the lowest polymorph listed for this composition = 0.7639 eV per atom

No. 11
A plane-wave DFT calculation with PBEsol was carried out for BaZnCd2 after structural relaxation.

```
BaZnCd2
1.0
4.650 0.000 0.000
-2.325 4.028 -0.064
0.000 -2.584 6.030
Ba Cd Zn
1 2 1
direct
0.500 0.000 0.000
0.701 0.403 0.604
0.299 0.597 0.396
0.000 0.000 0.500
```

magnetization = 0.001 Bohr magnetons per cell
formation energy = -0.174 eV/atom

No. 12
A plane-wave DFT calculation with PBEsol was carried out for Ho3Si13Os4 after structural relaxation.

```
Ho3Si13Os4
1.0
-8.024 -2.198 2.596
2.885 -7.922 2.210
1.802 2.894 8.021
Ho Si Os
6 26 8
direct
0.000 0.500 0.750
0.500 0.250 0.000
0.750 0.000 0.500
0.000 0.500 0.250
0.500 0.750 0.000
0.250 0.000 0.500
0.500 0.500 0.500
0.000 0.000 0.000
0.783 0.361 0.500
0.639 0.500 0.783
0.500 0.217 0.639
0.217 0.639 0.500
0.361 0.500 0.217
0.500 0.783 0.361
0.783 0.639 0.500
0.639 0.500 0.217
0.217 0.361 0.500
0.361 0.500 0.783
0.500 0.783 0.639
0.500 0.217 0.361
0.283 0.000 0.861
0.139 0.283 0.000
0.000 0.139 0.717
0.717 0.000 0.139
0.861 0.717 0.000
0.000 0.861 0.283
0.283 0.000 0.139
0.139 0.717 0.000
0.717 0.000 0.861
0.861 0.283 0.000
0.000 0.139 0.283
0.000 0.861 0.717
0.750 0.250 0.750
0.250 0.750 0.250
0.750 0.750 0.250
0.250 0.250 0.750
0.250 0.750 0.750
0.750 0.250 0.250
0.250 0.250 0.250
0.750 0.750 0.750
```

magnetization = 0.001 Bohr magnetons per cell
uncorrected formation energy = -0.526 eV per atom

No. 13
A plane-wave DFT calculation with PBEsol was carried out for TaCuIr after structural relaxation.

```
TaCuIr
1.0
2.830 0.000 0.000
0.000 3.740 0.000
-1.415 -1.870 4.068
Ir Cu Ta
1 1 1
direct
0.664 0.664 0.329
0.003 0.003 0.005
0.333 0.333 0.666
```

magnetization = 0.000 Bohr magnetons per cell
formation energy = -0.348 eV/atom

No. 14
A plane-wave DFT calculation with PBEsol was carried out for Ca5Y after structural relaxation.

```
Ca5Y
1.0
6.203 0.000 0.000
0.000 6.529 0.000
0.000 -3.265 5.654
Y Ca
1 5
direct
0.500 0.000 0.000
0.000 0.325 0.325
0.000 0.675 0.000
0.000 0.000 0.675
0.500 0.333 0.667
0.500 0.667 0.333
```

magnetization = 0.003 Bohr magnetons per cell
formation energy = 0.090 eV/atom
energy relative to the lowest polymorph listed for this composition = 0.0311 eV per atom

No. 15
A plane-wave DFT calculation with PBEsol was carried out for NbBN3 after structural relaxation.

```
NbBN3
1.0
4.073 0.000 0.000
0.000 4.073 0.000
0.000 0.000 4.073
Nb B N
1 1 3
direct
0.000 0.000 0.000
0.500 0.500 0.500
0.000 0.500 0.000
0.000 0.000 0.500
0.500 0.000 0.000
```

magnetization = 2.665 Bohr magnetons per cell
uncorrected formation energy = 1.619 eV per atom

No. 16
A plane-wave DFT calculation with PBEsol was carried out for Na5MoNO4 after structural relaxation.

```
Na5MoNO4
1.0
-4.549 -1.566 -3.013
4.887 0.910 -2.741
2.646 -10.230 1.322
Na Mo N O
10 2 2 8
direct
0.811 0.189 0.500
0.811 0.189 0.000
0.170 0.543 0.250
0.543 0.170 0.250
0.500 0.500 0.000
0.189 0.811 0.500
0.189 0.811 0.000
0.500 0.500 0.500
0.830 0.457 0.750
0.457 0.830 0.750
0.209 0.209 0.750
0.791 0.791 0.250
0.909 0.909 0.750
0.091 0.091 0.250
0.559 0.834 0.372
0.834 0.559 0.372
0.441 0.166 0.628
0.166 0.441 0.628
0.166 0.441 0.872
0.441 0.166 0.872
0.834 0.559 0.128
0.559 0.834 0.128
```

magnetization = 0.054 Bohr magnetons per cell
uncorrected formation energy = -1.497 eV per atom

No. 17
A plane-wave DFT calculation with PBEsol was carried out for EuEr after structural relaxation.

```
EuEr
1.0
3.561 0.000 0.000
-1.780 3.084 0.000
0.000 0.000 5.820
Eu Er
1 1
direct
0.000 0.000 0.000
0.667 0.333 0.500
```

magnetization = 7.497 Bohr magnetons per cell
formation energy = 0.081 eV/atom

No. 18
A plane-wave DFT calculation with PBEsol was carried out for Al2NiMo after structural relaxation.

```
Al2NiMo
1.0
2.768 0.000 0.000
1.384 2.397 0.000
1.384 0.799 8.316
Ni Mo Al
1 1 2
direct
0.000 0.000 0.000
0.500 0.500 0.500
0.257 0.257 0.229
0.743 0.743 0.771
```

magnetization = 0.000 Bohr magnetons per cell
formation energy = -0.205 eV/atom

No. 19
A plane-wave DFT calculation with PBEsol was carried out for CaSi2Pb after structural relaxation.

```
CaSi2Pb
1.0
-1.563 1.011 2.982
-3.126 -0.897 -1.334
0.757 -6.513 2.605
Ca Pb Si
1 1 2
direct
0.000 0.000 0.460
0.500 0.500 0.792
0.000 0.000 0.057
0.500 0.500 0.190
```

magnetization = 0.000 Bohr magnetons per cell
uncorrected formation energy = -0.019 eV per atom

No. 20
A plane-wave DFT calculation with PBEsol was carried out for BaHgOsSe2 after structural relaxation.

```
BaHgOsSe2
1.0
-2.479 -2.417 4.931
5.438 -0.326 2.574
-0.766 5.509 2.315
Os Hg Se Ba
1 1 2 1
direct
0.000 0.000 0.500
0.500 0.500 0.500
0.000 0.500 0.000
0.500 0.000 0.000
0.000 0.000 0.000
```

magnetization = 6.032 Bohr magnetons per cell
uncorrected formation energy = 1.631 eV per atom